Entry 1:
# EuHoMgRh, relaxed, DFT PBE
data_EuHoMgRh
_symmetry_space_group_name_H-M 'F -4 3 m'
_symmetry_Int_Tables_number 216
_symmetry_space_group_name_Hall 'F -4 2 3'
_cell_length_a 7.245
_cell_length_b 7.245
_cell_length_c 7.245
_cell_angle_alpha 90.00
_cell_angle_beta 90.00
_cell_angle_gamma 90.00
loop_
_atom_site_label
_atom_site_type_symbol
_atom_site_fract_x
_atom_site_fract_y
_atom_site_fract_z
Eu1 Eu 0.000 0.000 0.000
Ho1 Ho 0.000 0.000 0.500
Mg1 Mg 0.250 0.250 0.750
Rh1 Rh 0.250 0.250 0.250
# V in Å³ per cell: 380.3
# Density in g/cm3: 7.76
# Formation energy in kcal/mol of atoms: -5.97

---

Entry 2:
# EuHoMgRu, relaxed, DFT PBE
data_EuHoMgRu
_symmetry_space_group_name_H-M 'F -4 3 m'
_symmetry_Int_Tables_number 216
_symmetry_space_group_name_Hall 'F -4 2 3'
_cell_length_a 7.174
_cell_length_b 7.174
_cell_length_c 7.174
_cell_angle_alpha 90.00
_cell_angle_beta 90.00
_cell_angle_gamma 90.00
loop_
_atom_site_label
_atom_site_type_symbol
_atom_site_fract_x
_atom_site_fract_y
_atom_site_fract_z
Eu1 Eu 0.000 0.000 0.000
Ho1 Ho 0.000 0.000 0.500
Mg1 Mg 0.250 0.250 0.250
Ru1 Ru 0.250 0.250 0.750
# V in Å³ per cell: 369.2
# Density in g/cm3: 7.96
# Formation energy in kcal/mol of atoms: -0.47

---

Entry 3:
# EuHoMgSc, relaxed, DFT PBE
data_EuHoMgSc
_symmetry_space_group_name_H-M 'F -4 3 m'
_symmetry_Int_Tables_number 216
_symmetry_space_group_name_Hall 'F -4 2 3'
_cell_length_a 7.736
_cell_length_b 7.736
_cell_length_c 7.736
_cell_angle_alpha 90.00
_cell_angle_beta 90.00
_cell_angle_gamma 90.00
loop_
_atom_site_label
_atom_site_type_symbol
_atom_site_fract_x
_atom_site_fract_y
_atom_site_fract_z
Eu1 Eu 0.000 0.000 0.000
Ho1 Ho 0.000 0.000 0.500
Mg1 Mg 0.250 0.250 0.750
Sc1 Sc 0.250 0.250 0.250
# V in Å³ per cell: 463.0
# Density in g/cm3: 5.54
# Formation energy in kcal/mol of atoms: 2.06

---

In order of appearance, VASP energy = -99.34 -103.22 -89.68 eV/cell.
In order of appearance, DOS at the Fermi energy = 19.9 10.6 14.0 states/eV per cell.
In order of appearance, total magnetization = 27.652 28.061 28.510 μB per cell.